! PBE-GGA CaYCl, relaxed; values from VASP
&SYSTEM
  ibrav = 0, nat = 3, ntyp = 3
/
ATOMIC_SPECIES
Ca 40.08 Ca.upf
Y 88.91 Y.upf
Cl 35.45 Cl.upf
CELL_PARAMETERS angstrom
-0.977 3.192 7.307
-4.064 1.572 6.292
2.094 -1.784 2.370
ATOMIC_POSITIONS crystal
Ca 0.985 0.985 0.015
Y 0.681 0.681 0.319
Cl 0.334 0.334 0.666
! energy: -0.317 Ry/atom
! energy above the most stable polymorph in this dataset: 80.1 meV per atom
! raw formation energy: -2.61 eV per formula unit
! density: 3.13 g/cm³
! space-group type: Fmm2



! PBE-GGA AcDySn2, relaxed; values from VASP
&SYSTEM
  ibrav = 0, nat = 4, ntyp = 3
/
ATOMIC_SPECIES
Sn 118.71 Sn.upf
Dy 162.50 Dy.upf
Ac 227.00 Ac.upf
CELL_PARAMETERS angstrom
-2.945 2.647 3.467
0.226 -5.230 -0.539
6.477 -0.771 1.468
ATOMIC_POSITIONS crystal
Sn 0.542 0.262 0.804
Sn 0.458 0.738 0.196
Dy 0.000 0.000 0.000
Ac 0.000 0.500 0.500
! energy: -0.351 Ry/atom
! energy relative to the elements: -0.60 eV per atom
! density: 7.97 g/cm³
! space-group type: C2/m



Copy entry 1 word for word.
! PBE-GGA CaYCl, relaxed; values from VASP
&SYSTEM
  ibrav = 0, nat = 3, ntyp = 3
/
ATOMIC_SPECIES
Ca 40.08 Ca.upf
Y 88.91 Y.upf
Cl 35.45 Cl.upf
CELL_PARAMETERS angstrom
-0.977 3.192 7.307
-4.064 1.572 6.292
2.094 -1.784 2.370
ATOMIC_POSITIONS crystal
Ca 0.985 0.985 0.015
Y 0.681 0.681 0.319
Cl 0.334 0.334 0.666
! energy: -0.317 Ry/atom
! energy above the most stable polymorph in this dataset: 80.1 meV per atom
! raw formation energy: -2.61 eV per formula unit
! density: 3.13 g/cm³
! space-group type: Fmm2